No. 1
Here is a relaxed structure of Pr2SnSe4 from Alexandria via LeMat-Bulk. Energies are from PBE-GGA.

```
data_Pr2SnSe4
_chemical_formula_sum 'Pr4 Sn2 Se8'
_symmetry_space_group_name_H-M 'P 1'
_symmetry_Int_Tables_number 1
_cell_length_a 4.3906
_cell_length_b 7.5721
_cell_length_c 12.2501
_cell_angle_alpha 90.00
_cell_angle_beta 90.00
_cell_angle_gamma 90.00
loop_
_symmetry_equiv_pos_as_xyz
'x,y,z'
loop_
_atom_site_label
_atom_site_type_symbol
_atom_site_fract_x
_atom_site_fract_y
_atom_site_fract_z
Se1 Se 0.5000 0.2579 0.4561
Se2 Se 0.0000 0.1471 0.7211
Se3 Se 0.0000 0.8529 0.2789
Se4 Se 0.0000 0.3529 0.2211
Se5 Se 0.5000 0.2421 0.9561
Se6 Se 0.0000 0.6471 0.7789
Se7 Se 0.5000 0.7421 0.5439
Se8 Se 0.5000 0.7579 0.0439
Sn1 Sn 0.0000 0.0000 0.5000
Sn2 Sn 0.0000 0.5000 0.0000
Pr1 Pr 0.5000 0.0878 0.1763
Pr2 Pr 0.5000 0.4122 0.6763
Pr3 Pr 0.5000 0.5878 0.3237
Pr4 Pr 0.5000 0.9122 0.8237
```

Results
**Space group**: Pbam (55)
**Distance to the lowest polymorph of the same formula**: 0 meV/atom

---

No. 2
Here is a relaxed structure of Nd3NiSb from Alexandria via LeMat-Bulk. Energies are from PBE-GGA.

```
data_Nd3NiSb
_chemical_formula_sum 'Nd6 Ni2 Sb2'
_symmetry_space_group_name_H-M 'P 1'
_symmetry_Int_Tables_number 1
_cell_length_a 4.1495
_cell_length_b 8.1769
_cell_length_c 8.6602
_cell_angle_alpha 91.34
_cell_angle_beta 90.03
_cell_angle_gamma 104.71
loop_
_symmetry_equiv_pos_as_xyz
'x,y,z'
loop_
_atom_site_label
_atom_site_type_symbol
_atom_site_fract_x
_atom_site_fract_y
_atom_site_fract_z
Ni1 Ni 0.2348 0.5043 0.6533
Ni2 Ni 0.8093 0.6499 0.7684
Nd1 Nd 0.4178 0.8657 0.6648
Nd2 Nd 0.2712 0.5756 0.0011
Nd3 Nd 0.0623 0.1581 0.4087
Nd4 Nd 0.7728 0.5784 0.4205
Nd5 Nd 0.6263 0.2885 0.7566
Nd6 Nd 0.9816 0.9959 0.0128
Sb1 Sb 0.4101 0.8535 0.2793
Sb2 Sb 0.6338 0.3005 0.1422
```

Results
**Space group**: P-1 (2)

---

No. 3
Here is a relaxed structure of Sm2TlSe from Alexandria via LeMat-Bulk. Energies are from PBE-GGA.

```
data_Sm2TlSe
_chemical_formula_sum 'Sm2 Tl1 Se1'
_symmetry_space_group_name_H-M 'P 1'
_symmetry_Int_Tables_number 1
_cell_length_a 3.5805
_cell_length_b 3.5805
_cell_length_c 8.1974
_cell_angle_alpha 90.00
_cell_angle_beta 90.00
_cell_angle_gamma 90.00
loop_
_symmetry_equiv_pos_as_xyz
'x,y,z'
loop_
_atom_site_label
_atom_site_type_symbol
_atom_site_fract_x
_atom_site_fract_y
_atom_site_fract_z
Tl1 Tl 0.5000 0.5000 0.5000
Se1 Se 0.5000 0.5000 0.0000
Sm1 Sm 0.0000 0.0000 0.2276
Sm2 Sm 0.0000 0.0000 0.7724
```

Results
**Space group**: P4/mmm (123)
**Distance to the lowest polymorph of the same formula**: 148 meV/atom

---

No. 4
Here is a relaxed structure of MnCr2Os2 from Alexandria via LeMat-Bulk. Energies are from PBE-GGA.

```
data_MnCr2Os2
_chemical_formula_sum 'Mn2 Cr4 Os4'
_symmetry_space_group_name_H-M 'P 1'
_symmetry_Int_Tables_number 1
_cell_length_a 6.9858
_cell_length_b 6.9858
_cell_length_c 2.7397
_cell_angle_alpha 90.00
_cell_angle_beta 90.00
_cell_angle_gamma 90.00
loop_
_symmetry_equiv_pos_as_xyz
'x,y,z'
loop_
_atom_site_label
_atom_site_type_symbol
_atom_site_fract_x
_atom_site_fract_y
_atom_site_fract_z
Cr1 Cr 0.6268 0.1268 0.0000
Cr2 Cr 0.1268 0.3732 0.0000
Cr3 Cr 0.8732 0.6268 0.0000
Cr4 Cr 0.3732 0.8732 0.0000
Mn1 Mn 0.5000 0.5000 0.0000
Mn2 Mn 0.0000 0.0000 0.0000
Os1 Os 0.8279 0.3279 0.5000
Os2 Os 0.3279 0.1721 0.5000
Os3 Os 0.6721 0.8279 0.5000
Os4 Os 0.1721 0.6721 0.5000
```

Results
**Space group**: P4/mbm (127)
**Distance to the lowest polymorph of the same formula**: 0 meV/atom

---

No. 5
Here is a relaxed structure of PmY2ScSe6 from Alexandria via LeMat-Bulk. Energies are from PBE-GGA.

```
data_PmY2ScSe6
_chemical_formula_sum 'Pm1 Y2 Sc1 Se6'
_symmetry_space_group_name_H-M 'P 1'
_symmetry_Int_Tables_number 1
_cell_length_a 7.1634
_cell_length_b 7.1634
_cell_length_c 7.6541
_cell_angle_alpha 62.10
_cell_angle_beta 62.10
_cell_angle_gamma 59.99
loop_
_symmetry_equiv_pos_as_xyz
'x,y,z'
loop_
_atom_site_label
_atom_site_type_symbol
_atom_site_fract_x
_atom_site_fract_y
_atom_site_fract_z
Se1 Se 0.4082 0.7120 0.7582
Se2 Se 0.5931 0.2235 0.2477
Se3 Se 0.7120 0.1215 0.7582
Se4 Se 0.9358 0.5931 0.2478
Se5 Se 0.2234 0.9357 0.2478
Se6 Se 0.1216 0.4083 0.7582
Pm1 Pm 0.8159 0.8160 0.5521
Y1 Y 0.0125 0.0126 0.9624
Y2 Y 0.5171 0.5171 0.4488
Sc1 Sc 0.3220 0.3219 0.0340
```

Results
**Space group**: R3 (146)

---

No. 6
Here is a relaxed structure of La2Tb2Ho7 from Alexandria via LeMat-Bulk. Energies are from PBE-GGA.

```
data_La2Tb2Ho7
_chemical_formula_sum 'La2 Tb2 Ho7'
_symmetry_space_group_name_H-M 'P 1'
_symmetry_Int_Tables_number 1
_cell_length_a 6.0607
_cell_length_b 8.0976
_cell_length_c 8.0976
_cell_angle_alpha 91.67
_cell_angle_beta 73.82
_cell_angle_gamma 73.82
loop_
_symmetry_equiv_pos_as_xyz
'x,y,z'
loop_
_atom_site_label
_atom_site_type_symbol
_atom_site_fract_x
_atom_site_fract_y
_atom_site_fract_z
Ho1 Ho 0.1698 0.5917 0.0631
Ho2 Ho 0.8302 0.4083 0.9369
Ho3 Ho 0.4177 0.2388 0.2388
Ho4 Ho 0.5823 0.7612 0.7612
Ho5 Ho 0.1698 0.0631 0.5917
Ho6 Ho 0.8302 0.9369 0.4083
Ho7 Ho 0.0000 0.0000 0.0000
La1 La 0.5000 0.7878 0.2122
La2 La 0.5000 0.2122 0.7878
Tb1 Tb 0.8117 0.4044 0.4044
Tb2 Tb 0.1883 0.5956 0.5956
```

Results
**Space group**: C2/m (12)
**Distance to the lowest polymorph of the same formula**: 11 meV/atom

---

No. 7
Here is a relaxed structure of AcNdEu2 from Alexandria via LeMat-Bulk. Energies are from PBE-GGA.

```
data_AcNdEu2
_chemical_formula_sum 'Ac1 Nd1 Eu2'
_symmetry_space_group_name_H-M 'P 1'
_symmetry_Int_Tables_number 1
_cell_length_a 6.1208
_cell_length_b 6.1208
_cell_length_c 6.1208
_cell_angle_alpha 60.00
_cell_angle_beta 60.00
_cell_angle_gamma 60.00
loop_
_symmetry_equiv_pos_as_xyz
'x,y,z'
loop_
_atom_site_label
_atom_site_type_symbol
_atom_site_fract_x
_atom_site_fract_y
_atom_site_fract_z
Eu1 Eu 0.2500 0.2500 0.2500
Eu2 Eu 0.7500 0.7500 0.7500
Ac1 Ac 0.0000 0.0000 0.0000
Nd1 Nd 0.5000 0.5000 0.5000
```

Results
**Space group**: Fm-3m (225)
**Distance to the lowest polymorph of the same formula**: 47 meV/atom

---

No. 8
Here is a relaxed structure of Rb2Y2MnS6 from Alexandria via LeMat-Bulk. Energies are from PBE-GGA.

```
data_Rb2Y2MnS6
_chemical_formula_sum 'Rb2 Y2 Mn1 S6'
_symmetry_space_group_name_H-M 'P 1'
_symmetry_Int_Tables_number 1
_cell_length_a 6.6483
_cell_length_b 6.6483
_cell_length_c 8.1775
_cell_angle_alpha 98.37
_cell_angle_beta 98.37
_cell_angle_gamma 119.22
loop_
_symmetry_equiv_pos_as_xyz
'x,y,z'
loop_
_atom_site_label
_atom_site_type_symbol
_atom_site_fract_x
_atom_site_fract_y
_atom_site_fract_z
S1 S 0.2323 0.2323 0.3222
S2 S 0.0649 0.3625 0.6808
S3 S 0.9351 0.6375 0.3192
S4 S 0.7677 0.7677 0.6778
S5 S 0.6375 0.9351 0.3192
S6 S 0.3625 0.0649 0.6808
Y1 Y 0.3328 0.6672 0.5000
Y2 Y 0.6672 0.3328 0.5000
Rb1 Rb 0.1727 0.8273 0.0000
Rb2 Rb 0.8273 0.1727 0.0000
Mn1 Mn 0.0000 0.0000 0.5000
```

Results
**Space group**: C2/m (12)

---

Table of total energy (eV/atom), in record order: -5.34; -5.40; -4.75; -9.78; -6.29; -4.49; -7.25; -5.86